AgAsBr2 meta-GGA SCAN single point on PBEsol structure; crystal system = monoclinic; V = 94.6 Å³/cell; E_form (uncorrected) = 0.1333 eV/atom; ΔE to the lowest computed polymorph = 0.00 eV per formula unit
1.0
3.3080 0.0000 0.0000
0.0000 4.1297 0.0000
-1.6215 0.0000 6.9259
Ag As Br
1 1 2
Cartesian
0.0000 0.0000 0.0000
-0.8107 0.0000 3.4629
-0.8569 2.0649 5.2443
2.5434 2.0649 1.6816